The following is a PBE calculation of a relaxed KBa2MgSn crystal, from the Alexandria database.

```
5
Lattice="6.651 0.000 0.000 0.000 6.651 0.000 0.000 0.000 5.850" Properties=species:S:1:pos:R:3 pbc="T T T"
K 0.000 0.000 0.000
Ba 0.000 3.325 0.000
Ba 3.325 0.000 0.000
Mg 3.325 3.325 2.925
Sn 0.000 0.000 2.925
```

Values from the calculation:
The calculation puts the formation enthalpy at 0 K at 558 meV per atom. The value obtained for the raw total energy is -7.75 eV per formula unit. As for the crystal system: tetragonal. For the density of states at the Fermi level, the calculation gives 4.6 states/eV/f.u. Its symmetry is No. 123.